The following is a GGA-PBE calculation of a relaxed Ba6P2PtI3 crystal, from Alexandria via LeMat-Bulk.

Unit cell a=8.200 b=8.200 c=8.867 alpha=98.87 beta=98.87 gamma=120.04
Sites, in units of the cell vectors:
Ba 0.933 0.598 0.800
Ba 0.733 0.733 0.199
Ba 0.067 0.402 0.200
Ba 0.598 0.933 0.800
Ba 0.267 0.267 0.801
Ba 0.402 0.067 0.200
P 0.334 0.666 0.000
P 0.666 0.334 0.000
Pt 0.000 0.000 0.000
I 0.168 0.832 0.500
I 0.832 0.168 0.500
I 0.500 0.500 0.500

**Crystal system**: monoclinic
**Uncorrected energy**: -4.061 eV per atom
**Formation energy from raw total energies**: -1.307 eV per atom

---

The following is a GGA-PBE calculation of a relaxed Ba6PPt2I2 crystal, from Alexandria via LeMat-Bulk.

Unit cell a=8.135 b=8.135 c=8.846 alpha=98.92 beta=98.92 gamma=119.34
Sites, in units of the cell vectors:
Ba 0.733 0.733 0.695
Ba 0.069 0.400 0.702
Ba 0.267 0.267 0.305
Ba 0.400 0.069 0.702
Ba 0.931 0.600 0.298
Ba 0.600 0.931 0.298
P 0.000 0.000 0.500
Pt 0.331 0.669 0.500
Pt 0.669 0.331 0.500
I 0.837 0.163 0.000
I 0.163 0.837 0.000

**Crystal system**: monoclinic
**Uncorrected energy**: -3.958 eV per atom
**Formation energy from raw total energies**: -1.037 eV per atom

---

The following is a GGA-PBE calculation of a relaxed Ba4PPtI2 crystal, from Alexandria via LeMat-Bulk.

Unit cell a=4.700 b=8.202 c=8.875 alpha=106.85 beta=90.00 gamma=90.00
Sites, in units of the cell vectors:
Ba 0.500 0.238 0.203
Ba 0.500 0.762 0.797
Ba 0.000 0.263 0.806
Ba 0.000 0.737 0.194
P 0.500 0.500 0.000
Pt 0.000 0.000 0.000
I 0.500 0.000 0.500
I 0.000 0.500 0.500

**Crystal system**: monoclinic
**Uncorrected energy**: -4.048 eV per atom
**Formation energy from raw total energies**: -1.268 eV per atom

---

The following is a GGA-PBE calculation of a relaxed Ba8PPt3I4 crystal, from Alexandria via LeMat-Bulk.

Unit cell a=9.369 b=10.140 c=9.369 alpha=117.52 beta=120.00 gamma=90.00
Sites, in units of the cell vectors:
Ba 0.232 0.696 0.964
Ba 0.232 0.696 0.465
Ba 0.264 0.292 0.528
Ba 0.731 0.696 0.964
Ba 0.269 0.304 0.036
Ba 0.736 0.708 0.472
Ba 0.768 0.304 0.535
Ba 0.768 0.304 0.036
P 0.000 0.500 0.000
Pt 0.500 0.500 0.000
Pt 0.500 0.500 0.500
Pt 0.000 0.500 0.500
I 0.500 0.000 0.000
I 0.500 0.000 0.500
I 0.000 0.000 0.000
I 0.000 0.000 0.500

**Crystal system**: trigonal
**Uncorrected energy**: -4.019 eV per atom
**Formation energy from raw total energies**: -1.199 eV per atom

---

The following is a GGA-PBE calculation of a relaxed Rb2BaPI6 crystal, from Alexandria via LeMat-Bulk.

Unit cell a=9.030 b=9.030 c=8.848 alpha=59.32 beta=59.32 gamma=90.00
Site moments in Bohr magnetons follow the coordinates.
Sites, in units of the cell vectors:
I 0.276 0.276 0.449  0.00
I 0.724 0.724 0.551  0.00
I 0.264 0.264 0.000  0.03
I 0.736 0.736 0.000  0.03
I 0.736 0.264 0.000  0.03
I 0.264 0.736 0.000  0.03
P 0.500 0.500 0.000  0.35
Ba 0.000 0.000 0.000  0.04
Rb 0.750 0.250 0.500  0.00
Rb 0.250 0.750 0.500  0.00

**Crystal system**: tetragonal
**Uncorrected energy**: -2.754 eV per atom
**Formation energy from raw total energies**: -0.898 eV per atom

---

The following is a GGA-PBE calculation of a relaxed Ba2RePI crystal, from Alexandria via LeMat-Bulk.

Unit cell a=6.200 b=5.427 c=6.200 alpha=90.00 beta=90.00 gamma=90.00
Site moments in Bohr magnetons follow the coordinates.
Sites, in units of the cell vectors:
I 0.000 0.500 0.000  0.03
Re 0.500 0.500 0.500  3.06
Ba 0.000 0.000 0.500  -0.04
Ba 0.500 0.000 0.000  -0.03
P 0.000 0.000 0.000  0.02

**Crystal system**: tetragonal
**Uncorrected energy**: -3.888 eV per atom
**Formation energy from raw total energies**: 0.762 eV per atom